# TaAg | Alexandria | PBE | relaxed
data_TaAg
_chemical_formula_sum 'Ta16 Ag16'
_cell_length_a 2.775
_cell_length_b 10.506
_cell_length_c 19.598
_cell_angle_alpha 90.00
_cell_angle_beta 90.00
_cell_angle_gamma 90.00
_space_group_name_H-M_alt 'F d d d'
_space_group_IT_number 70
loop_
_space_group_symop_operation_xyz
'x,y,z'
'-x,-y,-z'
'-x+1/4,-y+1/4,z'
'x+1/4,y+1/4,-z'
'x,-y+1/4,-z+1/4'
'-x,y+1/4,z+1/4'
'-x+1/4,y,-z+1/4'
'x+1/4,-y,z+1/4'
'x,y+1/2,z+1/2'
'-x,-y+1/2,-z+1/2'
'-x+1/4,-y+3/4,z+1/2'
'x+1/4,y+3/4,-z+1/2'
'x,-y+3/4,-z+3/4'
'-x,y+3/4,z+3/4'
'-x+1/4,y+1/2,-z+3/4'
'x+1/4,-y+1/2,z+3/4'
'x+1/2,y,z+1/2'
'-x+1/2,-y,-z+1/2'
'-x+3/4,-y+1/4,z+1/2'
'x+3/4,y+1/4,-z+1/2'
'x+1/2,-y+1/4,-z+3/4'
'-x+1/2,y+1/4,z+3/4'
'-x+3/4,y,-z+3/4'
'x+3/4,-y,z+3/4'
'x+1/2,y+1/2,z'
'-x+1/2,-y+1/2,-z'
'-x+3/4,-y+3/4,z'
'x+3/4,y+3/4,-z'
'x+1/2,-y+3/4,-z+1/4'
'-x+1/2,y+3/4,z+1/4'
'-x+3/4,y+1/2,-z+1/4'
'x+3/4,-y+1/2,z+1/4'
loop_
_atom_site_label
_atom_site_type_symbol
_atom_site_fract_x
_atom_site_fract_y
_atom_site_fract_z
_atom_site_occupancy
Ta1 Ta 0.125 0.125 0.008 1
Ag1 Ag 0.125 0.256 0.625 1
# Magnetic moment in μB/f.u.: 0.00
# VASP energy in eV per atom: -6.984
# Crystal system: orthorhombic

# TaAg | Alexandria | PBE | relaxed
data_TaAg
_chemical_formula_sum 'Ta2 Ag2'
_cell_length_a 2.786
_cell_length_b 4.807
_cell_length_c 5.381
_cell_angle_alpha 90.00
_cell_angle_beta 90.00
_cell_angle_gamma 90.00
_space_group_name_H-M_alt 'P m m n'
_space_group_IT_number 59
loop_
_space_group_symop_operation_xyz
'x,y,z'
'-x,-y,-z'
'-x+1/2,-y+1/2,z'
'x+1/2,y+1/2,-z'
'x+1/2,-y,-z'
'-x+1/2,y,z'
'-x,y+1/2,-z'
'x,-y+1/2,z'
loop_
_atom_site_label
_atom_site_type_symbol
_atom_site_fract_x
_atom_site_fract_y
_atom_site_fract_z
_atom_site_occupancy
Ta1 Ta 0.250 0.250 0.087 1
Ag1 Ag 0.250 0.750 0.411 1
# Magnetic moment in μB/f.u.: 0.00
# VASP energy in eV per atom: -6.975
# Crystal system: orthorhombic

# TaAg2 | Alexandria | PBE | relaxed
data_TaAg2
_chemical_formula_sum 'Ta4 Ag8'
_cell_length_a 10.565
_cell_length_b 2.893
_cell_length_c 7.264
_cell_angle_alpha 90.00
_cell_angle_beta 104.73
_cell_angle_gamma 90.00
_space_group_name_H-M_alt 'C 1 2/m 1'
_space_group_IT_number 12
_space_group_name_Hall '-C 2y'
loop_
_atom_site_label
_atom_site_type_symbol
_atom_site_fract_x
_atom_site_fract_y
_atom_site_fract_z
_atom_site_occupancy
Ta1 Ta 0.140 0.000 0.024 1
Ag1 Ag 0.030 0.500 0.305 1
Ag2 Ag 0.193 0.000 0.638 1
# Magnetic moment in μB/f.u.: 0.00
# VASP energy in eV per atom: -5.606
# Crystal system: monoclinic

# TaAg | Alexandria | PBE | relaxed
data_TaAg
_chemical_formula_sum 'Ta8 Ag8'
_cell_length_a 8.392
_cell_length_b 4.129
_cell_length_c 8.307
_cell_angle_alpha 90.00
_cell_angle_beta 90.00
_cell_angle_gamma 90.00
_space_group_name_H-M_alt 'P n m a'
_space_group_IT_number 62
_space_group_name_Hall '-P 2ac 2n'
loop_
_atom_site_label
_atom_site_type_symbol
_atom_site_fract_x
_atom_site_fract_y
_atom_site_fract_z
_atom_site_occupancy
Ta1 Ta 0.107 0.250 0.242 1
Ta2 Ta 0.121 0.750 0.987 1
Ag1 Ag 0.125 0.750 0.497 1
Ag2 Ag 0.137 0.250 0.739 1
# Magnetic moment in μB/f.u.: 0.00
# VASP energy in eV per atom: -6.977
# Crystal system: orthorhombic

# Ta2Ag | Alexandria | PBE | relaxed
data_Ta2Ag
_chemical_formula_sum 'Ta8 Ag4'
_cell_length_a 11.130
_cell_length_b 2.835
_cell_length_c 7.171
_cell_angle_alpha 90.00
_cell_angle_beta 106.57
_cell_angle_gamma 90.00
_space_group_name_H-M_alt 'C 1 m 1'
_space_group_IT_number 8
_space_group_name_Hall 'C -2y'
loop_
_atom_site_label
_atom_site_type_symbol
_atom_site_fract_x
_atom_site_fract_y
_atom_site_fract_z
_atom_site_occupancy
Ta1 Ta 0.000 0.000 0.000 1
Ta2 Ta 0.056 0.000 0.615 1
Ta3 Ta 0.226 0.500 0.955 1
Ta4 Ta 0.387 0.000 0.282 1
Ag1 Ag 0.165 0.500 0.340 1
Ag2 Ag 0.331 0.000 0.664 1
# Magnetic moment in μB/f.u.: 0.00
# VASP energy in eV per atom: -8.538
# Crystal system: monoclinic

# Ta3Ag | Alexandria | PBE | relaxed
data_Ta3Ag
_chemical_formula_sum 'Ta3 Ag1'
_cell_length_a 2.8908
_cell_length_b 2.8908
_cell_length_c 10.1454
_cell_angle_alpha 90.00
_cell_angle_beta 90.00
_cell_angle_gamma 120.00
_space_group_name_H-M_alt 'P -6 m 2'
_space_group_IT_number 187
_space_group_name_Hall 'P -6 2'
loop_
_atom_site_label
_atom_site_type_symbol
_atom_site_fract_x
_atom_site_fract_y
_atom_site_fract_z
_atom_site_occupancy
Ta1 Ta 0.0000 0.0000 0.0000 1
Ta2 Ta 0.3333 0.6667 0.2529 1
Ag1 Ag 0.0000 0.0000 0.5000 1
# Magnetic moment in μB/f.u.: 0.00
# VASP energy in eV per atom: -9.320
# E above lowest polymorph in meV per atom: 166
# Crystal system: hexagonal

# TaAg | Alexandria | PBE | relaxed
data_TaAg
_chemical_formula_sum 'Ta4 Ag4'
_cell_length_a 3.578
_cell_length_b 4.398
_cell_length_c 9.154
_cell_angle_alpha 90.00
_cell_angle_beta 90.00
_cell_angle_gamma 90.00
_space_group_name_H-M_alt 'C m m e'
_space_group_IT_number 67
_space_group_name_Hall '-C 2a 2'
loop_
_atom_site_label
_atom_site_type_symbol
_atom_site_fract_x
_atom_site_fract_y
_atom_site_fract_z
_atom_site_occupancy
Ta1 Ta 0.000 0.250 0.121 1
Ag1 Ag 0.000 0.250 0.626 1
# Magnetic moment in μB/f.u.: 0.00
# VASP energy in eV per atom: -7.211
# Crystal system: orthorhombic

# Ta2Ag | Alexandria | PBE | relaxed
data_Ta2Ag
_chemical_formula_sum 'Ta6 Ag3'
_cell_length_a 8.4329
_cell_length_b 8.4329
_cell_length_c 2.6645
_cell_angle_alpha 90.00
_cell_angle_beta 90.00
_cell_angle_gamma 120.00
_space_group_name_H-M_alt 'P -6 2 m'
_space_group_IT_number 189
_space_group_name_Hall 'P -6 -2'
loop_
_atom_site_label
_atom_site_type_symbol
_atom_site_fract_x
_atom_site_fract_y
_atom_site_fract_z
_atom_site_occupancy
Ta1 Ta 0.0000 0.3189 0.0000 1
Ta2 Ta 0.0000 0.6527 0.5000 1
Ag1 Ag 0.0000 0.0000 0.5000 1
Ag2 Ag 0.3333 0.6667 0.0000 1
# Magnetic moment in μB/f.u.: 0.00
# VASP energy in eV per atom: -8.491
# Crystal system: hexagonal

# TaAg | Alexandria | PBE | relaxed
data_TaAg
_chemical_formula_sum 'Ta2 Ag2'
_cell_length_a 4.3344
_cell_length_b 4.3344
_cell_length_c 5.2317
_cell_angle_alpha 90.00
_cell_angle_beta 90.00
_cell_angle_gamma 120.00
_space_group_name_H-M_alt 'P 63/m m c'
_space_group_IT_number 194
_space_group_name_Hall '-P 6c 2c'
loop_
_atom_site_label
_atom_site_type_symbol
_atom_site_fract_x
_atom_site_fract_y
_atom_site_fract_z
_atom_site_occupancy
Ta1 Ta 0.0000 0.0000 0.0000 1
Ag1 Ag 0.3333 0.6667 0.2500 1
# Magnetic moment in μB/f.u.: 0.00
# VASP energy in eV per atom: -6.259
# Crystal system: hexagonal

# TaAg | Alexandria | PBE | relaxed
data_TaAg
_chemical_formula_sum 'Ta8 Ag8'
_cell_length_a 10.486
_cell_length_b 10.486
_cell_length_c 2.823
_cell_angle_alpha 90.00
_cell_angle_beta 90.00
_cell_angle_gamma 90.00
_space_group_name_H-M_alt 'P 4/m'
_space_group_IT_number 83
_space_group_name_Hall '-P 4'
loop_
_atom_site_label
_atom_site_type_symbol
_atom_site_fract_x
_atom_site_fract_y
_atom_site_fract_z
_atom_site_occupancy
Ta1 Ta 0.046 0.189 0.000 1
Ta2 Ta 0.095 0.408 0.500 1
Ag1 Ag 0.178 0.691 0.500 1
Ag2 Ag 0.330 0.426 0.000 1
# Magnetic moment in μB/f.u.: 0.00
# VASP energy in eV per atom: -6.816
# Crystal system: tetragonal

> The highest VASP energy belongs to which entry?

TaAg2